Here is a relaxed structure of CuHg2W from the Alexandria database. Energies are from PBE-GGA.

excess energy over the best structure of this formula in the dataset: 234 meV/atom
space-group type: P2/m, No. 10
ΔH_f (0 K): 72 kJ per mole of atoms
density of states at the Fermi level: 2.49 states/eV/cell

abc: 2.8332 4.4198 5.8548
angles: 90.00 103.86 90.00
Last column: nearest neighbours and their distance in Å.
Sites, in units of the cell vectors:
Cu: 0.0000 0.0000 0.0000  4 Hg 2.73, 2 Cu 2.83, 2 W 2.93
Hg: 0.3996 0.5000 0.2452  2 Cu 2.73, 3 Hg 2.83-2.90, 4 W 2.96-3.03
Hg: 0.6004 0.5000 0.7548  2 Cu 2.73, 3 Hg 2.83-2.90, 4 W 2.96-3.03
W: 0.0000 0.0000 0.5000  2 W 2.83, 2 Cu 2.93, 8 Hg 2.96-3.03

***

Here is a relaxed structure of Ca2PmS3 from the Alexandria database. Energies are from PBE-GGA.

E_form (uncorrected): -2.082 eV per atom
space-group type: Immm, No. 71
density of states at the Fermi level: 3.64 states/eV/cell

abc: 4.0150 5.7061 12.1263
angles: 90.00 90.00 90.00
Last column: nearest neighbours and their distance in Å.
Sites, in units of the cell vectors:
Ca: 0.0000 0.0000 0.1676  6 S 2.83-2.86
Ca: 0.0000 0.0000 0.8324  6 S 2.83-2.86
Ca: 0.5000 0.5000 0.3324  6 S 2.83-2.86
Ca: 0.5000 0.5000 0.6676  6 S 2.83-2.86
Pm: 0.0000 0.0000 0.5000  6 S 2.85-2.86
Pm: 0.5000 0.5000 0.0000  6 S 2.85-2.86
S: 0.0000 0.5000 0.1678  4 Ca 2.83-2.85, 2 Pm 2.86
S: 0.0000 0.5000 0.5000  2 Pm 2.85, 4 Ca 2.86
S: 0.0000 0.5000 0.8322  4 Ca 2.83-2.85, 2 Pm 2.86
S: 0.5000 0.0000 0.0000  2 Pm 2.85, 4 Ca 2.86
S: 0.5000 0.0000 0.3322  4 Ca 2.83-2.85, 2 Pm 2.86
S: 0.5000 0.0000 0.6678  4 Ca 2.83-2.85, 2 Pm 2.86

***

Here is a relaxed structure of Tc4Ir2Ru5 from the Alexandria database. Energies are from PBE-GGA.

space-group type: P-1, No. 2
ΔH_f (0 K): 0 kJ per mole of atoms
density of states at the Fermi level: 10.96 states/eV/cell

abc: 2.7222 6.0821 9.8183
angles: 86.48 82.10 77.08
Last column: nearest neighbours and their distance in Å.
Sites, in units of the cell vectors:
Tc: 0.0910 0.4519 0.3653  6 Ru 2.69-2.73, 4 Tc 2.70-2.72, 2 Ir 2.74
Tc: 0.2712 0.3622 0.0938  4 Ru 2.69-2.73, 3 Ir 2.70-2.73, 5 Tc 2.71-2.77
Tc: 0.7288 0.6378 0.9062  4 Ru 2.69-2.73, 3 Ir 2.70-2.73, 5 Tc 2.71-2.77
Tc: 0.9090 0.5481 0.6347  6 Ru 2.69-2.73, 4 Tc 2.70-2.72, 2 Ir 2.74
Ir: 0.4533 0.2748 0.8196  5 Tc 2.70-2.74, 5 Ru 2.72-2.76, 2 Ir 2.72
Ir: 0.5467 0.7252 0.1804  5 Tc 2.70-2.74, 5 Ru 2.72-2.76, 2 Ir 2.72
Ru: 0.0000 0.0000 0.0000  4 Ir 2.72, 4 Tc 2.72-2.73, 4 Ru 2.72-2.74
Ru: 0.1844 0.9042 0.7264  4 Tc 2.69, 6 Ru 2.70-2.74, 2 Ir 2.76
Ru: 0.3633 0.8186 0.4553  4 Tc 2.70-2.73, 7 Ru 2.70-2.74, 1 Ir 2.75
Ru: 0.6367 0.1814 0.5447  4 Tc 2.70-2.73, 7 Ru 2.70-2.74, 1 Ir 2.75
Ru: 0.8156 0.0958 0.2736  4 Tc 2.69, 6 Ru 2.70-2.74, 2 Ir 2.76

***

Here is a relaxed structure of HfIF3 from the Alexandria database. Energies are from PBE-GGA.

excess energy over the best structure of this formula in the dataset: 0 meV/atom
E_form (uncorrected): -2.487 eV per atom
space-group type: Pm-3m, No. 221
density of states at the Fermi level: 0.03 states/eV/cell

abc: 4.3113 4.3113 4.3113
angles: 90.00 90.00 90.00
Last column: nearest neighbours and their distance in Å.
Sites, in units of the cell vectors:
Hf: 0.0000 0.0000 0.0000  6 F 2.16
I: 0.5000 0.5000 0.5000  12 F 3.05
F: 0.0000 0.0000 0.5000  2 Hf 2.16
F: 0.0000 0.5000 0.0000  2 Hf 2.16
F: 0.5000 0.0000 0.0000  2 Hf 2.16

***

Here is a relaxed structure of TmPa2FeC4 from the Alexandria database. Energies are from PBE-GGA.

space-group type: Cmcm, No. 63
ΔH_f (0 K): -13 kJ per mole of atoms
density of states at the Fermi level: 9.73 states/eV/cell

abc: 5.9570 5.9570 11.8875
angles: 90.00 90.00 145.91
Last column: nearest neighbours and their distance in Å.
Sites, in units of the cell vectors:
Tm: 0.1149 0.8851 0.7500  6 C 2.62-2.86
Tm: 0.8851 0.1149 0.2500  6 C 2.62-2.86
Pa: 0.3656 0.6344 0.5465  6 C 2.39-2.52
Pa: 0.3656 0.6344 0.9535  6 C 2.39-2.52
Pa: 0.6344 0.3656 0.0465  6 C 2.39-2.52
Pa: 0.6344 0.3656 0.4535  6 C 2.39-2.52
Fe: 0.1562 0.8438 0.2500  4 C 1.87-1.93
Fe: 0.8438 0.1562 0.7500  4 C 1.87-1.93
C: 0.0000 0.0000 0.0000  4 Pa 2.39
C: 0.0000 0.0000 0.5000  4 Pa 2.39
C: 0.2656 0.7344 0.1329  1 Fe 1.87
C: 0.2656 0.7344 0.3671  1 Fe 1.87
C: 0.4165 0.5835 0.7500  2 Fe 1.93
C: 0.5835 0.4165 0.2500  2 Fe 1.93
C: 0.7344 0.2656 0.6329  1 Fe 1.87
C: 0.7344 0.2656 0.8671  1 Fe 1.87

***

Here is a relaxed structure of Tb2SiPd from the Alexandria database. Energies are from PBE-GGA.

E_form (uncorrected): -0.704 eV per atom
space-group type: P4/mmm, No. 123
density of states at the Fermi level: 1.25 states/eV/cell

abc: 3.4797 3.4797 7.2396
angles: 90.00 90.00 90.00
Last column: nearest neighbours and their distance in Å.
Sites, in units of the cell vectors:
Tb: 0.0000 0.0000 0.2501  4 Pd 3.05, 4 Si 3.06
Tb: 0.0000 0.0000 0.7499  4 Pd 3.05, 4 Si 3.06
Si: 0.5000 0.5000 0.0000  8 Tb 3.06
Pd: 0.5000 0.5000 0.5000  8 Tb 3.05

***

Here is a relaxed structure of CdPd2Pb2 from the Alexandria database. Energies are from PBE-GGA.

excess energy over the best structure of this formula in the dataset: 154 meV/atom
space-group type: P4/mbm, No. 127
ΔH_f (0 K): -6 kJ per mole of atoms
density of states at the Fermi level: 3.63 states/eV/cell

abc: 8.2687 8.2687 3.2984
angles: 90.00 90.00 90.00
Last column: nearest neighbours and their distance in Å.
Sites, in units of the cell vectors:
Cd: 0.0000 0.0000 0.0000  4 Pb 3.12, 2 Cd 3.30
Cd: 0.5000 0.5000 0.0000  4 Pb 3.12, 2 Cd 3.30
Pd: 0.1349 0.3651 0.5000  6 Pb 2.92-2.95, 1 Pd 3.15
Pd: 0.3651 0.8651 0.5000  6 Pb 2.92-2.95, 1 Pd 3.15
Pd: 0.6349 0.1349 0.5000  6 Pb 2.92-2.95, 1 Pd 3.15
Pd: 0.8651 0.6349 0.5000  6 Pb 2.92-2.95, 1 Pd 3.15
Pb: 0.1564 0.6564 0.0000  6 Pd 2.92-2.95, 2 Cd 3.12
Pb: 0.3436 0.1564 0.0000  6 Pd 2.92-2.95, 2 Cd 3.12
Pb: 0.6564 0.8436 0.0000  6 Pd 2.92-2.95, 2 Cd 3.12
Pb: 0.8436 0.3436 0.0000  6 Pd 2.92-2.95, 2 Cd 3.12

***

Here is a relaxed structure of KZnHg2Te from the Alexandria database. Energies are from PBE-GGA.

excess energy over the best structure of this formula in the dataset: 0 meV/atom
E_form (uncorrected): -0.274 eV per atom
space-group type: P4/mmm, No. 123
density of states at the Fermi level: 1.26 states/eV/cell

abc: 5.3554 5.3554 5.6580
angles: 90.00 90.00 90.00
Last column: nearest neighbours and their distance in Å.
Sites, in units of the cell vectors:
K: 0.0000 0.0000 0.0000  4 Te 3.79, 8 Hg 3.90
Zn: 0.5000 0.5000 0.5000  4 Hg 2.68, 2 Te 2.83
Hg: 0.0000 0.5000 0.5000  2 Zn 2.68
Hg: 0.5000 0.0000 0.5000  2 Zn 2.68
Te: 0.5000 0.5000 0.0000  2 Zn 2.83